A plane-wave DFT calculation with PBE was carried out for a relaxed structure of ZrPb.

The space group is P-6m2 (No. 187) and the conventional cell measures 6.5269, 6.5269 and 5.3423 Å, with angles of 90.00, 90.00 and 120.00 degrees. The inequivalent atoms are Zr at (0.0000, 0.0000, 0.0000), Zr at (0.1635, 0.3270, 0.5000), Pb at (0.0087, 0.5043, 0.0000) and Pb at (0.6667, 0.3333, 0.5000).

The value obtained for the volume is 197 Å³/cell. For the energy, the calculation gives -48.8 eV for the cell shown.